No. 1
Compound: Nd2CBr3
Source: the Alexandria database
Functional: GGA-PBE
Structure: optimized geometry Values from VASP.

```
&SYSTEM
  ibrav = 0, nat = 12, ntyp = 3
/
ATOMIC_SPECIES
Nd 144.24 Nd.upf
C 12.01 C.upf
Br 79.90 Br.upf
ATOMIC_POSITIONS crystal
Nd 0.0681 0.0681 0.2076
Nd 0.3804 0.3804 0.0632
Nd 0.6196 0.6196 0.9368
Nd 0.9319 0.9319 0.7924
C 0.4779 0.4779 0.9395
C 0.5221 0.5221 0.0605
Br 0.0776 0.0776 0.7229
Br 0.2171 0.2171 0.1288
Br 0.3621 0.3621 0.5997
Br 0.6379 0.6379 0.4003
Br 0.7829 0.7829 0.8712
Br 0.9224 0.9224 0.2771
CELL_PARAMETERS angstrom
9.1188 -2.0127 0.0000
9.1188 2.0127 0.0000
-3.2464 0.0000 10.4672
```

Values from the calculation:
The calculation puts the uncorrected formation energy at -1337 meV/atom. As for the symmetry: C2/m, No. 12.


No. 2
Compound: Na2Hg3RuO6
Source: the Alexandria database
Functional: GGA-PBE
Structure: optimized geometry Values from VASP.

```
&SYSTEM
  ibrav = 0, nat = 12, ntyp = 4
/
ATOMIC_SPECIES
Na 22.99 Na.upf
Hg 200.59 Hg.upf
Ru 101.07 Ru.upf
O 16.00 O.upf
ATOMIC_POSITIONS crystal
Na 0.1696 0.8304 0.0000
Na 0.8304 0.1696 0.0000
Hg 0.0000 0.0000 0.5000
Hg 0.3439 0.6561 0.5000
Hg 0.6561 0.3439 0.5000
Ru 0.5000 0.5000 0.0000
O 0.1834 0.4591 0.7791
O 0.2533 0.2533 0.1656
O 0.4591 0.1834 0.7791
O 0.5409 0.8166 0.2209
O 0.7467 0.7467 0.8344
O 0.8166 0.5409 0.2209
CELL_PARAMETERS angstrom
2.9224 -5.1483 0.0000
2.9224 5.1483 0.0000
-1.3394 0.0000 5.7398
```

Values from the calculation:
The calculation puts the uncorrected formation energy at -754 meV/atom. As for the symmetry: C2/m, No. 12.


No. 3
Compound: Pm2Th2Cd
Source: the Alexandria database
Functional: GGA-PBE
Structure: optimized geometry Values from VASP.

```
&SYSTEM
  ibrav = 0, nat = 5, ntyp = 3
/
ATOMIC_SPECIES
Pm 145.00 Pm.upf
Th 232.04 Th.upf
Cd 112.41 Cd.upf
ATOMIC_POSITIONS crystal
Pm 0.0909 0.0909 0.0000
Pm 0.9091 0.9091 0.0000
Th 0.3015 0.3015 0.0000
Th 0.6985 0.6985 0.0000
Cd 0.5000 0.5000 0.0000
CELL_PARAMETERS angstrom
-1.8211 1.8211 11.6091
1.8211 -1.8211 11.6091
1.8211 1.8211 -11.6091
```

Values from the calculation:
As for the symmetry: I4/mmm, No. 139.


No. 4
Compound: EuAg4Sb2
Source: the Alexandria database
Functional: GGA-PBE
Structure: optimized geometry Values from VASP.

```
&SYSTEM
  ibrav = 0, nat = 7, ntyp = 3
/
ATOMIC_SPECIES
Eu 151.96 Eu.upf
Ag 107.87 Ag.upf
Sb 121.76 Sb.upf
ATOMIC_POSITIONS crystal
Eu 0.0000 0.0000 0.0000
Ag 0.1439 0.1439 0.1439
Ag 0.4335 0.4335 0.4335
Ag 0.5665 0.5665 0.5665
Ag 0.8561 0.8561 0.8561
Sb 0.2599 0.2599 0.2599
Sb 0.7401 0.7401 0.7401
CELL_PARAMETERS angstrom
2.3784 1.3732 8.2243
-2.3784 1.3732 8.2243
0.0000 -2.7464 8.2243
```

Values from the calculation:
The calculation puts the uncorrected formation energy at -306 meV/atom. As for the symmetry: R-3m, No. 166.


The following E values (in eV per cell) correspond, in order, to the records above: -63.6; -51.6; -25.9; -32.1.